(1)
Crystalline Ca2GaSi3 at its relaxed geometry. Source: Alexandria via LeMat-Bulk, functional PBE-GGA.

```
data_Ca2GaSi3
_chemical_formula_sum 'Ca4 Ga2 Si6'
_cell_length_a 4.2226
_cell_length_b 4.2285
_cell_length_c 14.0754
_cell_angle_alpha 90.00
_cell_angle_beta 90.00
_cell_angle_gamma 90.00
_symmetry_space_group_name_H-M 'I m m 2'
_symmetry_Int_Tables_number 44
loop_
_symmetry_equiv_pos_as_xyz
'x,y,z'
'-x,-y,z'
'-x,y,z'
'x,-y,z'
'x+1/2,y+1/2,z+1/2'
'-x+1/2,-y+1/2,z+1/2'
'-x+1/2,y+1/2,z+1/2'
'x+1/2,-y+1/2,z+1/2'
loop_
_atom_site_label
_atom_site_type_symbol
_atom_site_fract_x
_atom_site_fract_y
_atom_site_fract_z
Ca1 Ca 0.0000 0.0000 0.0000
Ca2 Ca 0.0000 0.5000 0.2432
Ga1 Ga 0.0000 0.0000 0.4129
Si1 Si 0.0000 0.0000 0.5825
Si2 Si 0.0000 0.5000 0.6628
Si3 Si 0.0000 0.5000 0.8271
```

Properties
- Formation energy from raw total energies: -0.4018 eV/atom
- Crystal system: orthorhombic

=====

(2)
Crystalline Ca3GaSi3 at its relaxed geometry. Source: Alexandria via LeMat-Bulk, functional PBE-GGA.

```
data_Ca3GaSi3
_chemical_formula_sum 'Ca6 Ga2 Si6'
_cell_length_a 3.9840
_cell_length_b 4.5031
_cell_length_c 18.0221
_cell_angle_alpha 90.00
_cell_angle_beta 90.00
_cell_angle_gamma 90.00
_symmetry_space_group_name_H-M 'I m m 2'
_symmetry_Int_Tables_number 44
loop_
_symmetry_equiv_pos_as_xyz
'x,y,z'
'-x,-y,z'
'-x,y,z'
'x,-y,z'
'x+1/2,y+1/2,z+1/2'
'-x+1/2,-y+1/2,z+1/2'
'-x+1/2,y+1/2,z+1/2'
'x+1/2,-y+1/2,z+1/2'
loop_
_atom_site_label
_atom_site_type_symbol
_atom_site_fract_x
_atom_site_fract_y
_atom_site_fract_z
Ca1 Ca 0.0000 0.0000 0.0000
Ca2 Ca 0.0000 0.0000 0.3688
Ca3 Ca 0.0000 0.5000 0.6893
Ga1 Ga 0.0000 0.5000 0.1186
Si1 Si 0.0000 0.0000 0.5415
Si2 Si 0.0000 0.0000 0.8288
Si3 Si 0.0000 0.5000 0.2529
```

Properties
- Formation energy from raw total energies: -0.4896 eV/atom
- Crystal system: orthorhombic

=====

(3)
Crystalline Ca3Ga3Si at its relaxed geometry. Source: Alexandria via LeMat-Bulk, functional PBE-GGA.

```
data_Ca3Ga3Si
_chemical_formula_sum 'Ca12 Ga12 Si4'
_cell_length_a 11.1995
_cell_length_b 4.2520
_cell_length_c 14.8116
_cell_angle_alpha 90.00
_cell_angle_beta 108.33
_cell_angle_gamma 90.00
_symmetry_space_group_name_H-M 'C 1 2/m 1'
_symmetry_Int_Tables_number 12
loop_
_symmetry_equiv_pos_as_xyz
'x,y,z'
'-x,-y,-z'
'-x,y,-z'
'x,-y,z'
'x+1/2,y+1/2,z'
'-x+1/2,-y+1/2,-z'
'-x+1/2,y+1/2,-z'
'x+1/2,-y+1/2,z'
loop_
_atom_site_label
_atom_site_type_symbol
_atom_site_fract_x
_atom_site_fract_y
_atom_site_fract_z
Ca1 Ca 0.0126 0.0000 0.3820
Ca2 Ca 0.1122 0.0000 0.9233
Ca3 Ca 0.2385 0.0000 0.2318
Ga1 Ga 0.0242 0.5000 0.2309
Ga2 Ga 0.1028 0.5000 0.0777
Ga3 Ga 0.1602 0.5000 0.5380
Si1 Si 0.2209 0.5000 0.3808
```

Properties
- Formation energy from raw total energies: -0.4503 eV/atom
- Crystal system: monoclinic

=====

(4)
Crystalline Ca5GaSi2 at its relaxed geometry. Source: Alexandria via LeMat-Bulk, functional PBE-GGA.

```
data_Ca5GaSi2
_chemical_formula_sum 'Ca20 Ga4 Si8'
_cell_length_a 7.7194
_cell_length_b 7.7194
_cell_length_c 14.9682
_cell_angle_alpha 90.00
_cell_angle_beta 90.00
_cell_angle_gamma 90.00
_symmetry_space_group_name_H-M 'I 4/m c m'
_symmetry_Int_Tables_number 140
_symmetry_space_group_name_Hall '-I 4 2c'
loop_
_atom_site_label
_atom_site_type_symbol
_atom_site_fract_x
_atom_site_fract_y
_atom_site_fract_z
Ca1 Ca 0.0000 0.0000 0.0000
Ca2 Ca 0.1779 0.3221 0.1398
Ga1 Ga 0.0000 0.0000 0.2500
Si1 Si 0.1110 0.3890 0.5000
```

Properties
- Formation energy from raw total energies: -0.4535 eV/atom
- Crystal system: tetragonal

=====

(5)
Crystalline Ca3Ga2Si2 at its relaxed geometry. Source: Alexandria via LeMat-Bulk, functional PBE-GGA.

```
data_Ca3Ga2Si2
_chemical_formula_sum 'Ca6 Ga4 Si4'
_cell_length_a 10.9665
_cell_length_b 4.3769
_cell_length_c 7.6973
_cell_angle_alpha 90.00
_cell_angle_beta 114.93
_cell_angle_gamma 90.00
_symmetry_space_group_name_H-M 'C 1 2/m 1'
_symmetry_Int_Tables_number 12
loop_
_symmetry_equiv_pos_as_xyz
'x,y,z'
'-x,-y,-z'
'-x,y,-z'
'x,-y,z'
'x+1/2,y+1/2,z'
'-x+1/2,-y+1/2,-z'
'-x+1/2,y+1/2,-z'
'x+1/2,-y+1/2,z'
loop_
_atom_site_label
_atom_site_type_symbol
_atom_site_fract_x
_atom_site_fract_y
_atom_site_fract_z
Ca1 Ca 0.0000 0.0000 0.0000
Ca2 Ca 0.1816 0.0000 0.6292
Ga1 Ga 0.1896 0.5000 0.9302
Si1 Si 0.0253 0.5000 0.3565
```

Properties
- Formation energy from raw total energies: -0.4693 eV/atom
- Crystal system: monoclinic

=====

(6)
Crystalline CaGaSi2Tc at its relaxed geometry. Source: Alexandria via LeMat-Bulk, functional PBE-GGA.

```
data_CaGaSi2Tc
_chemical_formula_sum 'Ca1 Ga1 Si2 Tc1'
_cell_length_a 4.6755
_cell_length_b 4.6755
_cell_length_c 4.8233
_cell_angle_alpha 90.00
_cell_angle_beta 90.00
_cell_angle_gamma 90.00
_symmetry_space_group_name_H-M 'P 4/m m m'
_symmetry_Int_Tables_number 123
_symmetry_space_group_name_Hall '-P 4 2'
loop_
_atom_site_label
_atom_site_type_symbol
_atom_site_fract_x
_atom_site_fract_y
_atom_site_fract_z
Ca1 Ca 0.0000 0.0000 0.0000
Ga1 Ga 0.5000 0.5000 0.0000
Si1 Si 0.0000 0.5000 0.5000
Tc1 Tc 0.5000 0.5000 0.5000
```

Properties
- Formation energy from raw total energies: -0.0630 eV/atom
- Crystal system: tetragonal

=====

(7)
Crystalline CaGaSiTc2 at its relaxed geometry. Source: Alexandria via LeMat-Bulk, functional PBE-GGA.

```
data_CaGaSiTc2
_chemical_formula_sum 'Ca1 Ga1 Si1 Tc2'
_cell_length_a 4.7423
_cell_length_b 4.7423
_cell_length_c 5.0370
_cell_angle_alpha 90.00
_cell_angle_beta 90.00
_cell_angle_gamma 90.00
_symmetry_space_group_name_H-M 'P 4/m m m'
_symmetry_Int_Tables_number 123
_symmetry_space_group_name_Hall '-P 4 2'
loop_
_atom_site_label
_atom_site_type_symbol
_atom_site_fract_x
_atom_site_fract_y
_atom_site_fract_z
Ca1 Ca 0.0000 0.0000 0.0000
Ga1 Ga 0.0000 0.0000 0.5000
Si1 Si 0.5000 0.5000 0.5000
Tc1 Tc 0.0000 0.5000 0.0000
```

Properties
- Formation energy from raw total energies: 2.2481 eV/atom
- Crystal system: tetragonal

=====

(8)
Crystalline CaSmGa3 at its relaxed geometry. Source: Alexandria via LeMat-Bulk, functional PBE-GGA.

```
data_CaSmGa3
_chemical_formula_sum 'Ca4 Sm4 Ga12'
_cell_length_a 4.1936
_cell_length_b 26.3971
_cell_length_c 4.2764
_cell_angle_alpha 90.00
_cell_angle_beta 90.00
_cell_angle_gamma 90.00
_symmetry_space_group_name_H-M 'C m c m'
_symmetry_Int_Tables_number 63
_symmetry_space_group_name_Hall '-C 2c 2'
loop_
_atom_site_label
_atom_site_type_symbol
_atom_site_fract_x
_atom_site_fract_y
_atom_site_fract_z
Ca1 Ca 0.0000 0.2046 0.2500
Sm1 Sm 0.0000 0.0699 0.7500
Ga1 Ga 0.0000 0.3300 0.2500
Ga2 Ga 0.0000 0.3830 0.7500
Ga3 Ga 0.0000 0.4765 0.7500
```

Properties
- Crystal system: orthorhombic
- E_form: -0.5937 eV per atom

=====

(9)
Crystalline Ca3Sm4Ga4 at its relaxed geometry. Source: Alexandria via LeMat-Bulk, functional PBE-GGA.

```
data_Ca3Sm4Ga4
_chemical_formula_sum 'Ca6 Sm8 Ga8'
_cell_length_a 5.1437
_cell_length_b 7.5405
_cell_length_c 16.3869
_cell_angle_alpha 90.00
_cell_angle_beta 90.00
_cell_angle_gamma 90.00
_symmetry_space_group_name_H-M 'I m m m'
_symmetry_Int_Tables_number 71
_symmetry_space_group_name_Hall '-I 2 2'
loop_
_atom_site_label
_atom_site_type_symbol
_atom_site_fract_x
_atom_site_fract_y
_atom_site_fract_z
Ca1 Ca 0.0000 0.0000 0.0000
Ca2 Ca 0.0000 0.5000 0.1053
Sm1 Sm 0.0000 0.2810 0.3263
Ga1 Ga 0.0000 0.0000 0.1933
Ga2 Ga 0.0000 0.1716 0.5000
```

Properties
- Crystal system: orthorhombic
- E_form: -0.3054 eV per atom

=====

(10)
Crystalline Ca2SmGa at its relaxed geometry. Source: Alexandria via LeMat-Bulk, functional PBE-GGA.

```
data_Ca2SmGa
_chemical_formula_sum 'Ca2 Sm1 Ga1'
_cell_length_a 4.7710
_cell_length_b 4.7710
_cell_length_c 5.1932
_cell_angle_alpha 90.00
_cell_angle_beta 90.00
_cell_angle_gamma 90.00
_symmetry_space_group_name_H-M 'P 4/m m m'
_symmetry_Int_Tables_number 123
_symmetry_space_group_name_Hall '-P 4 2'
loop_
_atom_site_label
_atom_site_type_symbol
_atom_site_fract_x
_atom_site_fract_y
_atom_site_fract_z
Ca1 Ca 0.0000 0.5000 0.0000
Sm1 Sm 0.0000 0.0000 0.5000
Ga1 Ga 0.5000 0.5000 0.5000
```

Properties
- Energy relative to the lowest polymorph listed for this composition: 0.0000 eV/atom
- Crystal system: tetragonal
- E_form: -0.1631 eV per atom